1.
Crystalline AcLa2Rh at its relaxed geometry, computed with PBE.

Cell: 3.7172 3.7172 9.3448 Å, 90.00 90.00 90.00°
Last column: nearest neighbours and their distance in Å.
Element x y z (fractional)
Ac (0.0000, 0.0000, 0.0000)  4 Ac 3.72, 8 La 4.01
La (0.5000, 0.5000, 0.3234)  4 Rh 3.10, 1 La 3.30
La (0.5000, 0.5000, 0.6766)  4 Rh 3.10, 1 La 3.30
Rh (0.0000, 0.0000, 0.5000)  8 La 3.10

Total magnetization (μB/cell): 0.000
ΔE_f (eV per atom): -0.313
Uncorrected energy (eV per atom): -5.642
Excess energy over the best structure of this formula in the dataset (meV per atom): 137

=====

2.
Crystalline CsBiF6 at its relaxed geometry, computed with PBE.

Cell: 6.5275 6.5275 6.5275 Å, 54.39 54.39 54.39°
Last column: nearest neighbours and their distance in Å.
Element x y z (fractional)
Cs (0.0000, 0.0000, 0.0000)  12 F 3.37
Bi (0.5000, 0.5000, 0.5000)  6 F 2.05
F (0.1065, 0.5889, 0.5889)  1 Bi 2.05
F (0.4111, 0.4111, 0.8935)  1 Bi 2.05
F (0.4111, 0.8935, 0.4111)  1 Bi 2.05
F (0.5889, 0.1065, 0.5889)  1 Bi 2.05
F (0.5889, 0.5889, 0.1065)  1 Bi 2.05
F (0.8935, 0.4111, 0.4111)  1 Bi 2.05

Total magnetization (μB/cell): 0.000
Uncorrected energy (eV per atom): -4.208
Formation energy from raw total energies (eV/atom): -2.212

=====

3.
Crystalline ScPC3 at its relaxed geometry, computed with PBE.

Cell: 4.2172 4.2172 4.2172 Å, 90.00 90.00 90.00°
Last column: nearest neighbours and their distance in Å.
Element x y z (fractional)
Sc (0.0000, 0.0000, 0.0000)  6 C 2.11
P (0.5000, 0.5000, 0.5000)  12 C 2.98
C (0.0000, 0.0000, 0.5000)  2 Sc 2.11
C (0.0000, 0.5000, 0.0000)  2 Sc 2.11
C (0.5000, 0.0000, 0.0000)  2 Sc 2.11

Total magnetization (μB/cell): 0.000
ΔE_f (eV per atom): 2.762
Uncorrected energy (eV per atom): -5.121
Excess energy over the best structure of this formula in the dataset (meV per atom): 1567

=====

4.
Crystalline WBr at its relaxed geometry, computed with PBE.

Cell: 3.0378 3.0378 13.1495 Å, 90.00 90.00 120.00°
Last column: nearest neighbours and their distance in Å.
Element x y z (fractional)
W (0.0000, 0.0000, 0.0000)  6 Br 2.81, 6 W 3.04
W (0.3333, 0.6667, 0.6667)  6 Br 2.81, 6 W 3.04
W (0.6667, 0.3333, 0.3333)  6 Br 2.81, 6 W 3.04
Br (0.0000, 0.0000, 0.5000)  6 W 2.81, 6 Br 3.04
Br (0.3333, 0.6667, 0.1667)  6 W 2.81, 6 Br 3.04
Br (0.6667, 0.3333, 0.8333)  6 W 2.81, 6 Br 3.04

Total magnetization (μB/cell): 0.000
Uncorrected energy (eV per atom): -6.106
Excess energy over the best structure of this formula in the dataset (meV per atom): 1125
Formation energy from raw total energies (eV/atom): 1.207

=====

5.
Crystalline Ce4Te3P at its relaxed geometry, computed with PBE.

Cell: 15.0054 15.0054 15.0054 Å, 16.56 16.56 16.56°
Last column: nearest neighbours and their distance in Å.
Element x y z (fractional)
Ce (0.1231, 0.1231, 0.1231)  6 Te 3.16-3.17
Ce (0.3672, 0.3672, 0.3672)  3 P 2.91, 3 Te 3.21
Ce (0.6328, 0.6328, 0.6328)  3 P 2.91, 3 Te 3.21
Ce (0.8769, 0.8769, 0.8769)  6 Te 3.16-3.17
Te (0.2541, 0.2541, 0.2541)  6 Ce 3.17-3.21
Te (0.5000, 0.5000, 0.5000)  6 Ce 3.16
Te (0.7459, 0.7459, 0.7459)  6 Ce 3.17-3.21
P (0.0000, 0.0000, 0.0000)  6 Ce 2.91

Total magnetization (μB/cell): 4.180
Uncorrected energy (eV per atom): -6.228
Formation energy from raw total energies (eV/atom): -1.407

=====

6.
Crystalline Ca2TcRu at its relaxed geometry, computed with PBE.

Cell: 4.0936 4.0936 4.7017 Å, 90.00 90.00 90.00°
Last column: nearest neighbours and their distance in Å.
Element x y z (fractional)
Ca (0.0000, 0.5000, 0.0000)  4 Ca 2.89, 4 Tc 3.12, 4 Ru 3.12
Ca (0.5000, 0.0000, 0.0000)  4 Ca 2.89, 4 Tc 3.12, 4 Ru 3.12
Tc (0.0000, 0.0000, 0.5000)  4 Ru 2.89, 8 Ca 3.12
Ru (0.5000, 0.5000, 0.5000)  4 Tc 2.89, 8 Ca 3.12

Total magnetization (μB/cell): 0.922
ΔE_f (eV per atom): 0.685
Uncorrected energy (eV per atom): -5.226
Excess energy over the best structure of this formula in the dataset (meV per atom): 471